No. 1
## Zn2Br (PBE)

Data for a relaxed structure of Zn2Br.

```
3
Lattice="-3.0844 1.9049 -2.3917 -0.5517 -0.4675 4.2824 1.9493 4.0229 0.6903" Properties=species:S:1:pos:R:3 pbc="T T T"
Zn -0.4213 2.3347 2.4029
Zn -1.2655 3.1255 0.1782
Br 0.0000 0.0000 0.0000
```

Computed properties:
Its space-group type is P6/mmm.

=====

No. 2
## ZnBr4 (PBE)

Data for a relaxed structure of ZnBr4.

```
5
Lattice="-2.1212 4.5261 -1.4768 1.3068 -1.0012 -4.9453 -4.5781 -2.3828 -0.7273" Properties=species:S:1:pos:R:3 pbc="T T T"
Br -1.6357 -1.6920 -2.8363
Br -3.3496 1.0716 -1.1021
Br -0.4072 1.7625 -3.2111
Br 0.0000 0.0000 0.0000
Zn -2.6962 0.5711 -3.5747
```

Computed properties:
Its space-group type is Pm-3m.

=====

No. 3
## Zn3Br (PBE)

Data for a relaxed structure of Zn3Br.

```
16
Lattice="-4.2679 -5.8185 0.4735 5.9337 0.4755 4.1061 -4.1052 3.4613 5.5315" Properties=species:S:1:pos:R:3 pbc="T T T"
Zn 2.9668 0.2378 2.0531
Zn 0.9143 1.9684 4.8188
Zn -0.8726 -0.4286 7.6786
Zn -3.1751 -3.6458 2.6109
Zn -2.1340 -2.9093 0.2367
Zn -1.2197 -0.9409 5.0555
Zn 0.8329 -2.6715 2.2898
Zn 0.7357 1.7641 7.5001
Zn -4.1866 -1.1786 3.0025
Zn -1.5668 -1.4532 2.4325
Zn -1.5003 1.5849 5.9528
Zn -0.9391 -3.4666 4.1583
Br 1.5069 -0.7572 4.2781
Br 0.0000 0.0000 0.0000
Br -3.9463 -1.1246 5.8330
Br -2.0526 1.7306 2.7657
```

Computed properties:
Its space-group type is P6_3/mmc.

=====

No. 4
## Zn2Br (PBE)

Data for a relaxed structure of Zn2Br.

```
6
Lattice="7.1729 -0.5236 5.3139 -8.7203 1.2406 -1.5421 -0.6646 -4.0526 0.4977" Properties=species:S:1:pos:R:3 pbc="T T T"
Zn -8.3763 -1.8924 -0.8054
Zn -1.9063 -2.6106 1.9856
Zn -0.3057 -0.7250 2.2838
Zn 6.1643 -1.4432 5.0749
Br -6.3573 -0.0533 -0.3267
Br 4.1453 -3.2823 4.5962
```

Computed properties:
Its space-group type is Cmcm.

=====

Number 1: calculated volume 24.63 Å³ per atom, E_tot -4.2 eV/cell, total magnetic moment 0.00 Bohr magnetons per cell. Number 2: calculated volume 28.32 Å³ per atom, E_tot -8.2 eV/cell, total magnetic moment 2.03 Bohr magnetons per cell. Number 3: calculated volume 21.82 Å³ per atom, E_tot -21.2 eV/cell, total magnetic moment 0.00 Bohr magnetons per cell. Number 4: calculated volume 24.83 Å³ per atom, E_tot -9.2 eV/cell, total magnetic moment 0.00 Bohr magnetons per cell.